Entry 1:
{"formula": "TaMn2NbH", "functional": "GGA-PBE", "state": "optimized geometry", "lattice": [[3.854, 0.000, 0.000], [0.000, 3.854, 0.000], [0.000, 0.000, 4.244]], "species": ["Ta", "Mn", "Mn", "Nb", "H"], "fractional_positions": [[0.000, 0.000, 0.000], [0.000, 0.500, 0.500], [0.500, 0.000, 0.500], [0.500, 0.500, 0.000], [0.000, 0.000, 0.500]], "total_energy_ev_per_atom": -8.631, "sg": "No. 123"}

---

Entry 2:
{"formula": "Np2GaSb4", "functional": "GGA-PBE", "state": "optimized geometry", "lattice": [[4.390, 0.000, 0.000], [0.000, 4.390, 0.000], [0.000, 0.000, 9.596]], "species": ["Np", "Np", "Ga", "Sb", "Sb", "Sb", "Sb"], "fractional_positions": [[0.000, 0.500, 0.247], [0.500, 0.000, 0.753], [0.500, 0.500, 0.000], [0.000, 0.000, 0.500], [0.000, 0.500, 0.827], [0.500, 0.000, 0.173], [0.500, 0.500, 0.500]], "total_energy_ev_per_atom": -6.665, "sg": "No. 115"}

---

Entry 3:
{"formula": "Ta2SbAu", "functional": "GGA-PBE", "state": "optimized geometry", "lattice": [[3.298, 0.000, 0.000], [0.000, 3.298, 0.000], [0.000, 0.000, 6.938]], "species": ["Ta", "Ta", "Sb", "Au"], "fractional_positions": [[0.000, 0.000, 0.237], [0.000, 0.000, 0.763], [0.500, 0.500, 0.000], [0.500, 0.500, 0.500]], "total_energy_ev_per_atom": -7.558, "sg": "No. 123"}

---

Entry 4:
{"formula": "Sc2TaAs", "functional": "GGA-PBE", "state": "optimized geometry", "lattice": [[1.562, 0.902, 10.228], [-1.562, 0.902, 10.228], [0.000, -1.804, 10.228]], "species": ["Sc", "Sc", "Ta", "As"], "fractional_positions": [[0.089, 0.089, 0.089], [0.911, 0.911, 0.911], [0.500, 0.500, 0.500], [0.000, 0.000, 0.000]], "sg": "No. 166", "e_form_kj_per_mol_fu": 47}

---

Entry 5:
{"formula": "KZn2Co", "functional": "GGA-PBE", "state": "optimized geometry", "lattice": [[0.000, 3.404, 3.404], [3.404, 0.000, 3.404], [3.404, 3.404, 0.000]], "species": ["K", "Zn", "Zn", "Co"], "fractional_positions": [[0.000, 0.000, 0.000], [0.250, 0.250, 0.250], [0.500, 0.500, 0.500], [0.750, 0.750, 0.750]], "sg": "No. 216", "e_form_kj_per_mol_fu": 303}

---

Entry 6:
{"formula": "KNiPPd", "functional": "GGA-PBE", "state": "optimized geometry", "lattice": [[3.803, 0.000, 0.000], [0.000, 3.803, 0.000], [0.000, 0.000, 11.927]], "species": ["K", "K", "Ni", "Ni", "P", "P", "Pd", "Pd"], "fractional_positions": [[0.250, 0.250, 0.232], [0.750, 0.750, 0.768], [0.250, 0.750, 0.500], [0.750, 0.250, 0.500], [0.250, 0.250, 0.596], [0.750, 0.750, 0.404], [0.250, 0.750, 0.000], [0.750, 0.250, 0.000]], "sg": "No. 129", "e_form_kj_per_mol_fu": -92}

---

Entry 7:
{"formula": "Nd4PdRh", "functional": "GGA-PBE", "state": "optimized geometry", "lattice": [[4.375, -7.374, 0.000], [4.375, 7.374, 0.000], [-4.314, 0.000, 5.632]], "species": ["Nd", "Nd", "Nd", "Nd", "Nd", "Nd", "Nd", "Nd", "Pd", "Pd", "Rh", "Rh"], "fractional_positions": [[0.012, 0.575, 0.791], [0.212, 0.283, 0.751], [0.283, 0.212, 0.251], [0.425, 0.988, 0.709], [0.575, 0.012, 0.291], [0.717, 0.788, 0.749], [0.788, 0.717, 0.249], [0.988, 0.425, 0.209], [0.390, 0.610, 0.250], [0.610, 0.390, 0.750], [0.091, 0.909, 0.750], [0.909, 0.091, 0.250]], "sg": "No. 15", "e_form_kj_per_mol_fu": -251}

---

Entry 8:
{"formula": "SrBi5O9", "functional": "GGA-PBE", "state": "optimized geometry", "lattice": [[4.061, 0.000, 0.000], [0.029, 6.883, 0.000], [2.018, 1.371, 9.629]], "species": ["Sr", "Bi", "Bi", "Bi", "Bi", "Bi", "O", "O", "O", "O", "O", "O", "O", "O", "O"], "fractional_positions": [[0.000, 0.000, 0.000], [0.147, 0.395, 0.659], [0.334, 0.130, 0.324], [0.516, 0.498, 0.999], [0.659, 0.898, 0.670], [0.838, 0.587, 0.310], [0.030, 0.362, 0.875], [0.163, 0.059, 0.676], [0.361, 0.482, 0.261], [0.451, 0.168, 0.103], [0.558, 0.848, 0.886], [0.644, 0.567, 0.652], [0.796, 0.268, 0.403], [0.857, 0.911, 0.302], [0.942, 0.622, 0.087]], "total_energy_ev_per_atom": -5.743, "sg": "No. 1"}

---

Entry 9:
{"formula": "RbSn4Pd2", "functional": "GGA-PBE", "state": "optimized geometry", "lattice": [[19.537, 0.000, 0.000], [0.000, 4.620, 0.000], [0.000, 0.000, 8.088]], "species": ["Rb", "Rb", "Rb", "Rb", "Sn", "Sn", "Sn", "Sn", "Sn", "Sn", "Sn", "Sn", "Sn", "Sn", "Sn", "Sn", "Sn", "Sn", "Sn", "Sn", "Pd", "Pd", "Pd", "Pd", "Pd", "Pd", "Pd", "Pd"], "fractional_positions": [[0.118, 0.250, 0.019], [0.382, 0.750, 0.519], [0.618, 0.250, 0.481], [0.882, 0.750, 0.981], [0.035, 0.750, 0.738], [0.093, 0.250, 0.506], [0.190, 0.750, 0.330], [0.200, 0.750, 0.725], [0.300, 0.250, 0.225], [0.310, 0.250, 0.830], [0.407, 0.750, 0.006], [0.465, 0.250, 0.238], [0.535, 0.750, 0.762], [0.593, 0.250, 0.994], [0.690, 0.750, 0.170], [0.700, 0.750, 0.775], [0.800, 0.250, 0.275], [0.810, 0.250, 0.670], [0.907, 0.750, 0.494], [0.965, 0.250, 0.262], [0.038, 0.750, 0.366], [0.230, 0.250, 0.535], [0.270, 0.750, 0.035], [0.462, 0.250, 0.866], [0.538, 0.750, 0.134], [0.730, 0.250, 0.965], [0.770, 0.750, 0.465], [0.962, 0.250, 0.634]], "sg": "No. 62", "e_form_kj_per_mol_fu": -231}

---

Entry 10:
{"formula": "Nd2SmTm", "functional": "GGA-PBE", "state": "optimized geometry", "lattice": [[3.624, 0.000, 0.000], [0.000, 3.624, 0.000], [0.000, 0.000, 10.210]], "species": ["Nd", "Nd", "Sm", "Tm"], "fractional_positions": [[0.000, 0.000, 0.245], [0.000, 0.000, 0.755], [0.500, 0.500, 0.500], [0.500, 0.500, 0.000]], "sg": "No. 123", "e_form_kj_per_mol_fu": 8}

---

Entry 11:
{"formula": "Ti10Sn3Pb3", "functional": "GGA-PBE", "state": "optimized geometry", "lattice": [[8.133, 0.000, 0.000], [-4.066, 7.043, 0.000], [0.000, 0.000, 5.492]], "species": ["Ti", "Ti", "Ti", "Ti", "Ti", "Ti", "Ti", "Ti", "Ti", "Ti", "Sn", "Sn", "Sn", "Pb", "Pb", "Pb"], "fractional_positions": [[0.000, 0.239, 0.000], [0.000, 0.753, 0.500], [0.239, 0.000, 0.000], [0.247, 0.247, 0.500], [0.333, 0.667, 0.256], [0.333, 0.667, 0.744], [0.667, 0.333, 0.256], [0.667, 0.333, 0.744], [0.753, 0.000, 0.500], [0.761, 0.761, 0.000], [0.000, 0.387, 0.500], [0.387, 0.000, 0.500], [0.613, 0.613, 0.500], [0.000, 0.606, 0.000], [0.394, 0.394, 0.000], [0.606, 0.000, 0.000]], "sg": "No. 189", "e_form_kj_per_mol_fu": -273}

---

Entry 12:
{"formula": "Ta2CoTe", "functional": "GGA-PBE", "state": "optimized geometry", "lattice": [[1.634, 0.943, 8.039], [-1.634, 0.943, 8.039], [0.000, -1.887, 8.039]], "species": ["Ta", "Ta", "Co", "Te"], "fractional_positions": [[0.000, 0.000, 0.000], [0.242, 0.242, 0.242], [0.507, 0.507, 0.507], [0.753, 0.753, 0.753]], "total_energy_ev_per_atom": -8.231, "sg": "No. 160"}

---

Number 1: calculated volume 12.61 Å³ per atom. Number 2: calculated volume 26.42 Å³ per atom. Number 3: calculated volume 18.87 Å³ per atom. Number 4: calculated volume 21.62 Å³ per atom. Number 5: calculated volume 19.73 Å³ per atom. Number 6: calculated volume 21.56 Å³ per atom. Number 7: calculated volume 30.29 Å³ per atom. Number 8: calculated volume 17.94 Å³ per atom. Number 9: calculated volume 26.07 Å³ per atom. Number 10: calculated volume 33.53 Å³ per atom. Number 11: calculated volume 19.66 Å³ per atom. Number 12: calculated volume 18.59 Å³ per atom.